No. 1
Compound: Te3As2
Source: Alexandria
Functional: meta-GGA SCAN
Structure: PBEsol geometry

Calculated values
The formation energy from raw total energies comes out at 104 meV per atom. Its spin magnetization is 0.001 μB/f.u. Its space-group type is Fdd2 (43). The calculation puts the raw total energy at -303.23 eV per cell.

Geometry as POSCAR:
```
Te3As2
1.0
7.019 -0.192 0.000
-3.605 6.025 0.000
-1.707 -2.917 6.564
Te As
6 4
direct
0.147 0.347 0.598
0.750 0.549 0.402
0.188 0.188 0.000
0.799 0.500 0.902
0.438 0.938 0.500
0.597 0.897 0.098
0.012 0.402 0.248
0.013 0.904 0.252
0.652 0.762 0.748
0.154 0.763 0.752
```

=====

No. 2
Compound: Ba2Ni
Source: Alexandria
Functional: meta-GGA SCAN
Structure: PBEsol geometry

Calculated values
The calculation puts the energy of formation from the pure elements at 0.179 eV/atom. Its spin magnetization is 0.000 μB/f.u. Its space-group type is Fm-3m (225). The calculation puts the raw total energy at -94.74 eV per cell.

Geometry as POSCAR:
```
Ba2Ni
1.0
-2.336 2.822 -3.797
-3.193 -2.374 -3.466
-5.201 0.869 0.180
Ni Ba
1 2
direct
0.000 0.000 0.000
0.750 0.750 0.750
0.250 0.250 0.250
```

=====

No. 3
Compound: TiSe2I
Source: Alexandria
Functional: meta-GGA SCAN
Structure: PBEsol geometry

Calculated values
The formation energy from raw total energies comes out at 292 meV per atom. Its spin magnetization is 0.000 μB/f.u. Its space-group type is R-3m (166). The calculation puts the raw total energy at -91.76 eV per cell.

Geometry as POSCAR:
```
TiSe2I
1.0
-0.479 -2.346 2.015
1.712 -0.193 2.613
-7.882 5.942 7.476
Ti I Se
1 1 2
direct
0.000 0.000 0.000
0.500 0.500 0.500
0.066 0.066 0.803
0.934 0.934 0.197
```

=====

No. 4
Compound: AsRh
Source: Alexandria
Functional: meta-GGA SCAN
Structure: PBEsol geometry

Calculated values
The calculation puts the energy of formation from the pure elements at -0.510 eV/atom. Its spin magnetization is 0.000 μB/f.u. Its space-group type is P4/nmm (129). The calculation puts the raw total energy at -109.96 eV per cell.

Geometry as POSCAR:
```
AsRh
1.0
3.431 0.000 0.000
0.000 3.431 0.000
0.000 0.000 5.069
Rh As
2 2
direct
0.000 0.500 0.672
0.500 0.000 0.328
0.000 0.500 0.184
0.500 0.000 0.816
```

=====

No. 5
Compound: CoSn2I
Source: Alexandria
Functional: meta-GGA SCAN
Structure: PBEsol geometry

Calculated values
The formation energy from raw total energies comes out at 808 meV per atom. Its spin magnetization is 2.066 μB/f.u. Its space-group type is Fm-3m (225). The calculation puts the raw total energy at -122.66 eV per cell.

Geometry as POSCAR:
```
CoSn2I
1.0
5.110 0.000 0.000
2.555 4.426 0.000
2.555 1.475 4.173
Sn Co I
2 1 1
direct
0.750 0.750 0.750
0.250 0.250 0.250
0.000 0.000 0.000
0.500 0.500 0.500
```

=====

No. 6
Compound: CeCuSn
Source: Alexandria
Functional: meta-GGA SCAN
Structure: PBEsol geometry

Calculated values
The calculation puts the energy of formation from the pure elements at -0.556 eV/atom. Its spin magnetization is 1.009 μB/f.u. Its space-group type is P6_3mc (186). The calculation puts the raw total energy at -194.70 eV per cell.

Geometry as POSCAR:
```
CeCuSn
1.0
-0.095 2.432 3.865
-0.843 -4.488 0.105
7.064 -1.303 0.993
Cu Ce Sn
2 2 2
direct
0.333 0.667 0.202
0.667 0.333 0.702
0.000 0.000 0.014
0.000 0.000 0.514
0.667 0.333 0.277
0.333 0.667 0.777
```

=====

No. 7
Compound: ZrZnSiO2
Source: Alexandria
Functional: meta-GGA SCAN
Structure: PBEsol geometry

Calculated values
The formation energy from raw total energies comes out at -419 meV per atom. Its spin magnetization is 0.000 μB/f.u. Its space-group type is P4/mmm (123). The calculation puts the raw total energy at -68.78 eV per cell.

Geometry as POSCAR:
```
ZrZnSiO2
1.0
-0.794 2.626 -2.730
2.324 -1.865 -2.470
-3.543 -2.542 -1.415
Si Zr Zn O
1 1 1 2
direct
0.000 0.000 0.500
0.500 0.500 0.500
0.000 0.000 0.000
0.000 0.500 0.000
0.500 0.000 0.000
```

=====

No. 8
Compound: LaHfTe2
Source: Alexandria
Functional: meta-GGA SCAN
Structure: PBEsol geometry

Calculated values
The formation energy from raw total energies comes out at -650 meV per atom. Its spin magnetization is 0.000 μB/f.u. Its space-group type is R-3m (166). The calculation puts the raw total energy at -182.88 eV per cell.

Geometry as POSCAR:
```
LaHfTe2
1.0
-3.283 1.542 -1.266
-3.348 -1.073 1.547
-1.411 7.410 6.854
Hf La Te
1 1 2
direct
0.500 0.500 0.500
0.000 0.000 0.000
0.894 0.894 0.319
0.106 0.106 0.681
```

=====

No. 9
Compound: HPdN2
Source: Alexandria
Functional: meta-GGA SCAN
Structure: PBEsol geometry

Calculated values
Its spin magnetization is 0.001 μB/f.u. Its space-group type is I-42d (122). The calculation puts the raw total energy at -97.33 eV per cell.

Geometry as POSCAR:
```
HPdN2
1.0
-1.971 -0.262 -3.748
-2.553 -1.543 3.852
-3.011 2.642 1.399
N H Pd
4 2 2
direct
0.375 0.250 0.191
0.559 0.750 0.375
0.191 0.750 0.875
0.875 0.250 0.559
0.500 0.000 0.500
0.250 0.500 0.250
0.000 0.000 0.000
0.750 0.500 0.750
```

=====

No. 10
Compound: NaZn2H3S2O8
Source: Alexandria
Functional: meta-GGA SCAN
Structure: PBEsol geometry

Calculated values
Its spin magnetization is 0.000 μB/f.u. Its space-group type is P-1 (2). The calculation puts the raw total energy at -267.80 eV per cell.

Geometry as POSCAR:
```
NaZn2H3S2O8
1.0
6.302 0.022 0.012
-2.945 7.109 -0.097
-2.973 -2.913 7.826
O Zn H Na S
16 4 6 2 4
direct
0.794 0.260 0.737
0.269 0.917 0.630
0.913 0.256 0.202
0.711 0.854 0.568
0.971 0.860 0.070
0.490 0.175 0.155
0.510 0.825 0.845
0.289 0.146 0.432
0.412 0.498 0.297
0.588 0.502 0.703
0.206 0.740 0.263
0.087 0.744 0.798
0.731 0.083 0.370
0.029 0.140 0.930
0.814 0.738 0.267
0.186 0.262 0.733
0.500 0.000 0.500
0.811 0.823 0.802
0.189 0.177 0.198
0.000 0.000 0.500
0.393 0.288 0.513
0.703 0.440 0.732
0.445 0.437 0.735
0.297 0.560 0.268
0.555 0.563 0.265
0.607 0.712 0.487
0.426 0.823 0.085
0.574 0.177 0.915
0.070 0.308 0.854
0.761 0.262 0.303
0.239 0.738 0.697
0.930 0.692 0.146
```

=====

No. 11
Compound: K3Nb2CuSe12
Source: Alexandria
Functional: meta-GGA SCAN
Structure: PBEsol geometry

Calculated values
The formation energy from raw total energies comes out at -810 meV per atom. Its spin magnetization is 0.000 μB/f.u. Its space-group type is P2_1/c (14). The calculation puts the raw total energy at -1447.88 eV per cell.

Geometry as POSCAR:
```
K3Nb2CuSe12
1.0
9.469 0.000 -0.040
0.000 13.410 0.000
-1.339 0.000 15.151
Se K Nb Cu
48 12 8 4
direct
0.366 0.860 0.864
0.718 0.432 0.836
0.822 0.086 0.933
0.034 0.607 0.176
0.053 0.232 0.432
0.466 0.107 0.324
0.178 0.914 0.067
0.678 0.586 0.567
0.790 0.283 0.624
0.634 0.140 0.136
0.457 0.660 0.609
0.986 0.392 0.491
0.218 0.068 0.336
0.514 0.892 0.009
0.237 0.297 0.799
0.210 0.717 0.376
0.534 0.893 0.676
0.079 0.066 0.657
0.763 0.703 0.201
0.925 0.336 0.064
0.947 0.768 0.568
0.425 0.164 0.564
0.751 0.180 0.750
0.866 0.640 0.364
0.447 0.732 0.068
0.486 0.108 0.991
0.075 0.664 0.936
0.043 0.160 0.891
0.014 0.608 0.509
0.957 0.840 0.109
0.134 0.360 0.636
0.553 0.268 0.932
0.575 0.836 0.436
0.251 0.320 0.250
0.543 0.340 0.391
0.421 0.566 0.843
0.249 0.820 0.250
0.710 0.783 0.876
0.966 0.393 0.824
0.737 0.203 0.299
0.782 0.932 0.664
0.749 0.680 0.750
0.290 0.217 0.124
0.322 0.414 0.433
0.282 0.568 0.164
0.921 0.934 0.343
0.579 0.434 0.157
0.263 0.797 0.701
0.909 0.411 0.270
0.513 0.604 0.347
0.091 0.589 0.730
0.253 0.420 0.993
0.487 0.396 0.653
0.591 0.911 0.230
0.247 0.920 0.507
0.747 0.580 0.007
0.987 0.104 0.153
0.409 0.089 0.770
0.013 0.896 0.847
0.753 0.080 0.493
0.175 0.723 0.081
0.325 0.223 0.419
0.675 0.777 0.581
0.825 0.277 0.919
0.507 0.277 0.221
0.493 0.723 0.779
0.993 0.777 0.279
0.007 0.223 0.721
0.180 0.193 0.574
0.820 0.807 0.426
0.680 0.307 0.074
0.320 0.693 0.926
```

=====

No. 12
Compound: CeMnSi
Source: Alexandria
Functional: meta-GGA SCAN
Structure: PBEsol geometry

Calculated values
The formation energy from raw total energies comes out at -466 meV per atom. Its spin magnetization is 0.679 μB/f.u. Its space-group type is P4/nmm (129). The calculation puts the raw total energy at -148.47 eV per cell.

Geometry as POSCAR:
```
CeMnSi
1.0
-2.560 -3.192 -0.169
0.650 -0.307 -4.032
4.870 -3.964 1.087
Si Ce Mn
2 2 2
direct
0.000 0.500 0.682
0.500 0.000 0.318
0.000 0.500 0.195
0.500 0.000 0.805
0.500 0.500 0.500
0.000 0.000 0.500
```

=====

Which of these has the highest spin magnetization?
CoSn2I